This record from Alexandria describes a geometry-optimized Zn5Sn3O12 structure. The functional is PBE-GGA. Values from VASP.

The structure in Quantum ESPRESSO input format:
```
&SYSTEM
  ibrav = 0, nat = 80, ntyp = 3
/
ATOMIC_SPECIES
Sn 118.71 Sn.upf
Zn 65.41 Zn.upf
O 16.00 O.upf
ATOMIC_POSITIONS crystal
Sn 0.750 0.375 0.125
Sn 0.875 0.750 0.125
Sn 0.375 0.750 0.625
Sn 0.250 0.125 0.375
Sn 0.875 0.125 0.250
Sn 0.375 0.625 0.250
Sn 0.625 0.375 0.750
Sn 0.125 0.875 0.750
Sn 0.750 0.875 0.625
Sn 0.625 0.250 0.375
Sn 0.125 0.250 0.875
Sn 0.250 0.625 0.875
Zn 0.125 0.375 0.250
Zn 0.000 0.500 0.000
Zn 0.000 0.000 0.000
Zn 0.375 0.250 0.125
Zn 0.500 0.000 0.500
Zn 0.500 0.500 0.000
Zn 0.125 0.750 0.375
Zn 0.750 0.125 0.875
Zn 0.750 0.625 0.375
Zn 0.375 0.125 0.750
Zn 0.625 0.875 0.250
Zn 0.500 0.500 0.500
Zn 0.500 0.000 0.000
Zn 0.000 0.000 0.500
Zn 0.250 0.375 0.625
Zn 0.250 0.875 0.125
Zn 0.000 0.500 0.500
Zn 0.875 0.250 0.625
Zn 0.625 0.750 0.875
Zn 0.875 0.625 0.750
O 0.718 0.136 0.045
O 0.326 0.545 0.409
O 0.955 0.364 0.282
O 0.545 0.218 0.136
O 0.582 0.718 0.674
O 0.955 0.591 0.174
O 0.326 0.782 0.418
O 0.091 0.918 0.136
O 0.591 0.955 0.674
O 0.718 0.582 0.174
O 0.782 0.455 0.364
O 0.826 0.909 0.045
O 0.136 0.718 0.545
O 0.364 0.409 0.082
O 0.082 0.909 0.364
O 0.418 0.136 0.591
O 0.082 0.174 0.218
O 0.455 0.674 0.091
O 0.826 0.918 0.282
O 0.136 0.418 0.091
O 0.364 0.955 0.782
O 0.591 0.636 0.418
O 0.909 0.826 0.545
O 0.782 0.326 0.918
O 0.409 0.364 0.582
O 0.091 0.174 0.455
O 0.218 0.674 0.082
O 0.174 0.082 0.718
O 0.636 0.045 0.218
O 0.864 0.582 0.909
O 0.545 0.326 0.909
O 0.582 0.864 0.409
O 0.918 0.826 0.782
O 0.918 0.091 0.636
O 0.864 0.282 0.455
O 0.174 0.091 0.955
O 0.636 0.591 0.918
O 0.409 0.045 0.326
O 0.282 0.418 0.826
O 0.218 0.545 0.636
O 0.909 0.082 0.864
O 0.674 0.218 0.582
O 0.455 0.782 0.864
O 0.045 0.409 0.826
O 0.418 0.282 0.326
O 0.045 0.636 0.718
O 0.674 0.455 0.591
O 0.282 0.864 0.955
CELL_PARAMETERS angstrom
-9.158 -5.395 0.430
4.743 -0.300 9.517
-1.962 10.110 -2.667
```

Properties
**Uncorrected energy**: -101.50 eV per formula unit
**Density**: 6.3 g/cm3
**Symmetry**: Ia-3d (230)
**Density of states at the Fermi level**: 32.86 states/eV per cell
**Raw formation energy**: -1.18 eV/atom